No. 1
VASP calculation (PBE) on a relaxed structure of TmZr2Tl.

- energy relative to the elements (eV per atom) = 0.03
- crystal system = tetragonal

```
4
Lattice="-1.750 1.915 2.042 -2.087 -2.497 0.553 5.123 -2.739 6.961" Properties=species:S:1:pos:R:3 pbc="T T T"
Tl 0.643 -1.661 4.778
Tm -1.919 -0.291 1.297
Zr 3.777 -2.020 5.133
Zr 1.346 -0.719 1.828
```

---

No. 2
VASP calculation (PBE) on a relaxed structure of Sn2PdAu.

- energy relative to the elements (eV per atom) = 0.05
- crystal system = trigonal

```
4
Lattice="-0.640 2.258 2.336 -2.690 1.916 -0.243 -6.182 -5.109 5.593" Properties=species:S:1:pos:R:3 pbc="T T T"
Au -4.756 -0.467 3.843
Sn -4.809 -3.350 4.268
Sn -4.703 2.415 3.418
Pd 0.000 0.000 0.000
```

---

No. 3
VASP calculation (PBE) on a relaxed structure of HPdI2O.

- crystal system = tetragonal

```
5
Lattice="-2.246 -0.117 5.261 -4.725 -2.474 -2.073 1.541 -3.431 0.582" Properties=species:S:1:pos:R:3 pbc="T T T"
I -2.362 -1.237 -1.036
I -1.123 -0.059 2.631
H -2.715 -3.011 1.885
O 0.771 -1.715 0.291
Pd 0.000 0.000 0.000
```

---

No. 4
VASP calculation (PBE) on a relaxed structure of Ni8PdPt6.

- energy relative to the elements (eV per atom) = 0.21
- crystal system = trigonal

```
15
Lattice="2.648 0.000 0.000 0.000 9.748 0.000 0.000 -4.874 8.442" Properties=species:S:1:pos:R:3 pbc="T T T"
Ni 2.089 2.571 7.843
Ni 2.089 -3.204 6.747
Ni 2.089 0.633 2.293
Ni 0.560 2.302 0.599
Ni 0.560 8.078 1.695
Ni 0.560 4.241 6.148
Ni 2.013 4.874 2.814
Ni 0.635 0.000 5.628
Pd 1.324 0.000 0.000
Pt 1.959 2.170 5.379
Pt 1.959 -0.870 7.632
Pt 1.959 -1.301 3.873
Pt 0.689 2.703 3.063
Pt 0.689 5.743 0.810
Pt 0.689 6.175 4.569
```

---

No. 5
VASP calculation (PBE) on a relaxed structure of Gd2Sc4N.

- raw formation energy (eV/atom) = -0.359
- crystal system = tetragonal

```
7
Lattice="4.402 0.000 0.000 0.000 4.402 0.000 2.201 2.201 8.904" Properties=species:S:1:pos:R:3 pbc="T T T"
Sc 4.402 4.402 2.183
Sc 2.201 2.201 6.720
Sc 0.000 2.201 0.000
Sc 2.201 0.000 0.000
Gd 4.402 4.402 5.649
Gd 2.201 2.201 3.255
N 0.000 0.000 0.000
```

---

No. 6
VASP calculation (PBE) on a relaxed structure of Tm2ThMg2.

- energy relative to the elements (eV per atom) = 0.05
- crystal system = orthorhombic

```
5
Lattice="-0.519 -2.958 1.697 0.210 -1.759 -3.002 12.047 -2.090 0.043" Properties=species:S:1:pos:R:3 pbc="T T T"
Tm 2.264 -2.604 -0.340
Tm 9.474 -4.203 -0.923
Th 0.000 0.000 0.000
Mg 7.345 -1.613 -0.565
Mg 4.912 -2.235 -2.394
```

---

No. 7
VASP calculation (PBE) on a relaxed structure of Ta2SbP.

- raw formation energy (eV/atom) = 0.019
- crystal system = orthorhombic

```
4
Lattice="3.785 -1.684 3.624 -1.670 -3.312 4.066 0.288 0.572 -5.466" Properties=species:S:1:pos:R:3 pbc="T T T"
Ta 2.110 -4.985 7.672
Ta -0.098 -2.770 1.455
Sb 2.563 -1.800 0.993
P 1.001 -2.364 3.639
```

---

No. 8
VASP calculation (PBE) on a relaxed structure of Cd3GaPb.

- energy relative to the elements (eV per atom) = 0.06
- crystal system = monoclinic

```
20
Lattice="-4.019 -2.304 6.536 3.554 -7.285 2.107 4.376 6.668 2.553" Properties=species:S:1:pos:R:3 pbc="T T T"
Cd 4.003 3.366 5.739
Cd 4.516 -5.337 3.715
Cd -0.093 -6.287 5.456
Cd -0.605 2.416 7.480
Cd 2.176 -4.959 1.749
Cd 1.127 3.394 4.640
Cd 1.735 2.039 9.446
Cd 2.784 -6.315 6.556
Cd 1.808 0.968 6.364
Cd 0.262 -5.054 8.199
Cd 2.102 -3.889 4.832
Cd 3.649 2.133 2.996
Ga 4.237 0.279 5.119
Ga 4.444 -2.262 4.430
Ga -0.326 -3.199 6.077
Ga -0.533 -0.659 6.765
Pb -2.842 -1.742 5.003
Pb 6.753 -1.179 6.192
Pb 2.027 -2.120 7.864
Pb 1.884 -0.801 3.331
```

---

No. 9
VASP calculation (PBE) on a relaxed structure of KRb2TlIn.

- energy relative to the elements (eV per atom) = 0.09
- crystal system = tetragonal

```
5
Lattice="-1.209 -3.679 -5.964 3.617 -5.511 2.667 -5.064 -2.177 2.369" Properties=species:S:1:pos:R:3 pbc="T T T"
Tl 0.000 0.000 0.000
K -1.327 -5.684 -0.464
Rb 1.809 -2.756 1.333
Rb -0.604 -1.840 -2.982
In -2.532 -1.089 1.185
```

---

No. 10
VASP calculation (PBE) on a relaxed structure of CaY2ZnPd4.

- energy relative to the elements (eV per atom) = -0.73
- crystal system = trigonal

```
8
Lattice="-2.003 -1.476 -4.146 2.596 -2.588 -3.152 -2.188 -8.060 1.107" Properties=species:S:1:pos:R:3 pbc="T T T"
Ca 0.000 0.000 0.000
Y -1.149 -8.963 -4.712
Y -0.445 -3.161 -1.479
Zn -0.797 -6.062 -3.095
Pd -1.626 -8.392 -1.866
Pd -0.304 -6.587 -5.966
Pd -1.290 -5.537 -0.225
Pd 0.032 -3.732 -4.325
```

---

No. 11
VASP calculation (PBE) on a relaxed structure of Fe2AgIr.

- energy relative to the elements (eV per atom) = 0.28
- crystal system = monoclinic

```
4
Lattice="4.141 0.000 0.000 0.000 2.695 0.002 0.000 1.301 5.070" Properties=species:S:1:pos:R:3 pbc="T T T"
Ag 2.070 3.123 3.943
Fe 0.000 0.372 0.013
Fe 2.070 0.624 1.347
Ir 0.000 1.875 2.305
```

---

No. 12
VASP calculation (PBE) on a relaxed structure of Sr3Co5H12.

- crystal system = cubic

```
80
Lattice="10.019 0.000 0.000 -3.340 9.446 0.000 -3.340 -4.723 8.180" Properties=species:S:1:pos:R:3 pbc="T T T"
Sr 5.844 2.952 1.023
Sr 5.844 6.494 1.023
Sr -0.835 4.133 5.113
Sr 0.835 -0.590 3.068
Sr 7.514 0.000 2.045
Sr 0.835 4.723 2.045
Sr 2.505 0.000 6.135
Sr -4.175 4.723 6.135
Sr 2.505 5.313 5.113
Sr 4.175 0.590 3.068
Sr -2.505 -1.771 7.158
Sr -2.505 1.771 7.158
Co -0.835 2.361 2.045
Co -1.670 4.723 0.000
Co 0.000 0.000 0.000
Co 2.505 1.771 1.023
Co 3.340 -2.361 4.090
Co 3.340 4.723 0.000
Co -2.505 5.313 3.068
Co 4.175 -2.952 7.158
Co 4.175 4.133 3.068
Co 0.835 -2.361 6.135
Co 2.505 7.084 2.045
Co 1.670 2.361 4.090
Co 5.009 0.000 0.000
Co -1.670 -2.361 4.090
Co -0.835 0.590 5.113
Co -0.835 7.675 1.023
Co -3.340 2.361 4.090
Co 5.844 -0.590 5.113
Co 0.835 2.952 7.158
Co 4.175 2.361 6.135
H 3.116 -3.857 8.153
H 0.224 2.770 3.327
H -2.427 2.330 2.673
H 4.097 1.211 0.736
H 1.336 3.163 5.535
H -2.537 4.771 1.445
H -0.913 5.842 3.409
H -2.427 8.235 0.736
H 3.674 -3.163 5.535
H 4.207 4.675 1.445
H 5.233 2.818 3.355
H 1.893 3.857 8.153
H -3.006 4.014 4.062
H 2.472 3.448 0.681
H -3.563 6.628 3.355
H 1.893 -1.953 4.854
H -0.334 0.850 1.417
H 2.472 5.950 0.764
H 4.097 7.116 2.673
H -0.802 3.496 0.764
H 1.336 -3.873 6.764
H 2.583 3.604 3.409
H 4.676 5.432 4.062
H 4.142 -1.275 7.499
H 0.757 1.119 4.771
H -1.336 -0.709 4.118
H -0.802 5.998 0.681
H -0.757 -2.393 5.507
H 2.004 8.596 1.417
H 4.142 1.227 7.417
H 0.867 -1.227 7.417
H 1.446 6.676 3.327
H 3.674 3.873 6.764
H 6.903 -1.905 4.826
H 6.345 0.709 4.118
H 1.446 0.866 0.028
H 0.867 1.275 7.499
H -0.334 7.886 2.646
H -0.867 0.048 6.736
H -1.893 1.905 4.826
H 5.766 -3.512 7.445
H 4.253 -1.119 4.771
H -0.757 3.512 7.445
H 5.877 -0.048 6.736
H 2.004 1.560 2.646
H 5.766 2.393 5.507
H 3.116 1.953 4.854
H 0.224 8.580 0.028
```

---

Computed E, in the same sequence as the records: -5.956 -4.073 -2.792 -5.640 -9.189 -3.863 -8.291 -1.834 -1.542 -5.347 -6.883 -4.092 eV/atom.